Here is a geometry-optimized In3AgS6 structure from the Alexandria database. Energies are from PBE-GGA.

Lattice parameters (Å, degrees): 7.739 7.739 7.739 90.52 90.52 90.52
Fractional coordinates of all 20 atoms:
In1 0.441 0.927 0.758
In2 0.927 0.758 0.441
In3 0.242 0.559 0.073
In4 0.758 0.441 0.927
In5 0.073 0.242 0.559
In6 0.559 0.073 0.242
Ag1 0.000 0.000 0.000
Ag2 0.500 0.500 0.500
S1 0.311 0.908 0.079
S2 0.092 0.921 0.689
S3 0.599 0.812 0.459
S4 0.921 0.689 0.092
S5 0.459 0.599 0.812
S6 0.188 0.541 0.401
S7 0.812 0.459 0.599
S8 0.541 0.401 0.188
S9 0.079 0.311 0.908
S10 0.401 0.188 0.541
S11 0.908 0.079 0.311
S12 0.689 0.092 0.921

Summary:
**Space-group type**: No. 148
**Formation energy (no corrections)**: -0.238 eV per atom
**DOS at the Fermi energy**: 5.47 states/eV/f.u.
**Spin magnetization**: 0.00 μB per cell

Here is a geometry-optimized In2Ag2S structure from the Alexandria database. Energies are from PBE-GGA.

Lattice parameters (Å, degrees): 7.459 7.459 4.089 90.00 90.00 90.00
Fractional coordinates of all 10 atoms:
S1 0.000 0.000 0.000
S2 0.500 0.500 0.000
Ag1 0.131 0.631 0.500
Ag2 0.631 0.869 0.500
Ag3 0.869 0.369 0.500
Ag4 0.369 0.131 0.500
In1 0.330 0.830 0.000
In2 0.830 0.670 0.000
In3 0.670 0.170 0.000
In4 0.170 0.330 0.000

Summary:
**Excess energy over the best structure of this formula in the dataset**: 86 meV/atom
**Space-group type**: No. 127
**Formation energy (no corrections)**: 0.123 eV per atom
**DOS at the Fermi energy**: 2.33 states/eV/f.u.
**Spin magnetization**: 0.00 μB per cell

Number 1: energy -3.821 eV per atom. Number 2: energy -2.938 eV per atom.